# Cs2CdBi2 (PBE, optimized geometry)
data_Cs2CdBi2
_cell_length_a 6.0755
_cell_length_b 4.7896
_cell_length_c 15.8681
_cell_angle_alpha 90.00
_cell_angle_beta 90.00
_cell_angle_gamma 90.00
_space_group_name_H-M_alt 'A m m 2'
_space_group_IT_number 38
_space_group_name_Hall 'A 2 -2'
loop_
_atom_site_label
_atom_site_type_symbol
_atom_site_fract_x
_atom_site_fract_y
_atom_site_fract_z
_atom_site_occupancy
Cs1 Cs 0.0000 0.0000 0.0000 1
Cs2 Cs 0.0000 0.0000 0.2411 1
Cd1 Cd 0.5000 0.0000 0.8119 1
Bi1 Bi 0.5000 0.0000 0.4204 1
Bi2 Bi 0.5000 0.0000 0.6224 1
# Crystal system   orthorhombic
# Raw total energy   -22.82 eV for the cell shown
# Total magnetization   0.00 Bohr magnetons per cell
# D(E_F)   0.9227 states/eV per atom
# Polymorph energy (0 for the lowest one)   0 meV/atom
# Energy of formation from the pure elements   -0.205 eV/atom